# 1
Density functional theory data (PBE) for crystalline ScBeAl3 at its relaxed geometry.

Computed properties:
Raw total energy = -0.1491 Ha/atom
Energy of formation from the pure elements = 199.9 meV/atom
Volume = 87.1 Å³/cell
Space-group type = Pm-3m
Crystal system = cubic

abc: 4.433 4.433 4.433
angles: 90.00 90.00 90.00
Element x y z (fractional)
Sc 0.000 0.000 0.000
Be 0.500 0.500 0.500
Al 0.000 0.500 0.500
Al 0.500 0.000 0.500
Al 0.500 0.500 0.000

# 2
Density functional theory data (PBE) for crystalline Sc2BeAl at its relaxed geometry.

Computed properties:
Raw total energy = -0.1847 Ha/atom
Energy of formation from the pure elements = 7.3 meV/atom
Volume = 73.4 Å³/cell
Space-group type = I-4m2
Crystal system = tetragonal

abc: 5.359 5.359 5.359
angles: 135.94 135.94 64.07
Element x y z (fractional)
Sc 0.000 0.000 0.000
Sc 0.750 0.250 0.500
Be 0.500 0.500 0.000
Al 0.250 0.750 0.500

# 3
Density functional theory data (PBE) for crystalline Sc5BeAl4 at its relaxed geometry.

Computed properties:
Raw total energy = -0.1991 Ha/atom
Energy of formation from the pure elements = -383.2 meV/atom
Volume = 186.5 Å³/cell
Space-group type = P4/mmm
Crystal system = tetragonal

abc: 3.234 3.234 17.826
angles: 90.00 90.00 90.00
Element x y z (fractional)
Sc 0.000 0.000 0.000
Sc 0.000 0.000 0.208
Sc 0.000 0.000 0.415
Sc 0.000 0.000 0.585
Sc 0.000 0.000 0.792
Be 0.500 0.500 0.500
Al 0.500 0.500 0.104
Al 0.500 0.500 0.312
Al 0.500 0.500 0.688
Al 0.500 0.500 0.896

# 4
Density functional theory data (PBE) for crystalline SmScBeAl at its relaxed geometry.

Computed properties:
Raw total energy = -0.1748 Ha/atom
Energy of formation from the pure elements = -127.9 meV/atom
Volume = 82.3 Å³/cell
Space-group type = F-43m
Crystal system = cubic

abc: 4.883 4.883 4.883
angles: 60.00 60.00 60.00
Element x y z (fractional)
Sm 0.000 0.000 0.000
Sc 0.500 0.500 0.500
Be 0.250 0.250 0.250
Al 0.750 0.750 0.750

# 5
Density functional theory data (PBE) for crystalline Sc2BeAlTe at its relaxed geometry.

Computed properties:
Raw total energy = -0.1675 Ha/atom
Volume = 116.1 Å³/cell
Space-group type = P4/mmm
Energy relative to the elements, uncorrected = 0.098 eV per atom
Crystal system = tetragonal

abc: 5.237 5.237 4.233
angles: 90.00 90.00 90.00
Element x y z (fractional)
Sc 0.000 0.500 0.000
Sc 0.500 0.000 0.000
Be 0.000 0.000 0.500
Al 0.000 0.000 0.000
Te 0.500 0.500 0.500

# 6
Density functional theory data (PBE) for crystalline Be2AlSe at its relaxed geometry.

Computed properties:
Raw total energy = -0.1104 Ha/atom
Volume = 56.1 Å³/cell
Space-group type = Fm-3m
Energy relative to the elements, uncorrected = 0.665 eV per atom
Crystal system = cubic

abc: 4.298 4.298 4.298
angles: 60.00 60.00 60.00
Element x y z (fractional)
Be 0.250 0.250 0.250
Be 0.750 0.750 0.750
Al 0.000 0.000 0.000
Se 0.500 0.500 0.500

# 7
Density functional theory data (PBE) for crystalline Be2Al2Se at its relaxed geometry.

Computed properties:
Raw total energy = -0.1216 Ha/atom
Volume = 76.9 Å³/cell
Space-group type = I4/mmm
Energy relative to the elements, uncorrected = 0.377 eV per atom
Crystal system = tetragonal

abc: 5.940 5.940 5.940
angles: 142.58 142.58 53.95
Element x y z (fractional)
Be 0.100 0.100 0.000
Be 0.900 0.900 0.000
Al 0.250 0.750 0.500
Al 0.750 0.250 0.500
Se 0.500 0.500 0.000

# 8
Density functional theory data (PBE) for crystalline Be2AlSe at its relaxed geometry.

Computed properties:
Raw total energy = -0.1289 Ha/atom
Volume = 65.0 Å³/cell
Space-group type = C2/m
Energy relative to the elements, uncorrected = 0.161 eV per atom
Crystal system = monoclinic

abc: 4.358 4.358 5.485
angles: 114.24 114.24 44.14
Element x y z (fractional)
Be 0.167 0.167 0.331
Be 0.833 0.833 0.669
Al 0.500 0.500 0.500
Se 0.500 0.500 0.000

# 9
Density functional theory data (PBE) for crystalline Be2Al2Se at its relaxed geometry.

Computed properties:
Raw total energy = -0.1257 Ha/atom
Volume = 146.8 Å³/cell
Space-group type = P4/mbm
Energy relative to the elements, uncorrected = 0.263 eV per atom
Crystal system = tetragonal

abc: 6.336 6.336 3.657
angles: 90.00 90.00 90.00
Element x y z (fractional)
Be 0.119 0.381 0.000
Be 0.381 0.881 0.000
Be 0.619 0.119 0.000
Be 0.881 0.619 0.000
Al 0.159 0.659 0.500
Al 0.341 0.159 0.500
Al 0.659 0.841 0.500
Al 0.841 0.341 0.500
Se 0.000 0.000 0.000
Se 0.500 0.500 0.000

# 10
Density functional theory data (PBE) for crystalline BeAl4Se at its relaxed geometry.

Computed properties:
Raw total energy = -0.1190 Ha/atom
Volume = 106.0 Å³/cell
Space-group type = F-43m
Energy relative to the elements, uncorrected = 0.459 eV per atom
Crystal system = cubic

abc: 5.312 5.312 5.312
angles: 60.00 60.00 60.00
Element x y z (fractional)
Be 0.000 0.000 0.000
Al 0.374 0.374 0.374
Al 0.374 0.374 0.878
Al 0.374 0.878 0.374
Al 0.878 0.374 0.374
Se 0.750 0.750 0.750

# 11
Density functional theory data (PBE) for crystalline Be2AlSe at its relaxed geometry.

Computed properties:
Raw total energy = -0.1322 Ha/atom
Volume = 61.6 Å³/cell
Space-group type = Cm
Energy relative to the elements, uncorrected = 0.072 eV per atom
Crystal system = monoclinic

abc: 3.874 3.874 5.401
angles: 108.09 108.09 54.22
Element x y z (fractional)
Be 0.000 0.000 0.000
Be 0.665 0.665 0.963
Al 0.394 0.394 0.231
Se 0.066 0.066 0.633

# 12
Density functional theory data (PBE) for crystalline Be2AlSe at its relaxed geometry.

Computed properties:
Raw total energy = -0.1177 Ha/atom
Volume = 60.0 Å³/cell
Space-group type = Pmmm
Energy relative to the elements, uncorrected = 0.467 eV per atom
Crystal system = orthorhombic

abc: 3.339 3.432 5.233
angles: 90.00 90.00 90.00
Element x y z (fractional)
Be 0.000 0.000 0.000
Be 0.500 0.000 0.500
Al 0.000 0.500 0.500
Se 0.500 0.500 0.000